# 1
# LaNd2Se3 (PBE, optimized geometry)
data_LaNd2Se3
_chemical_formula_sum 'La1 Nd2 Se3'
_cell_length_a 4.253
_cell_length_b 4.253
_cell_length_c 10.432
_cell_angle_alpha 90.00
_cell_angle_beta 90.00
_cell_angle_gamma 120.00
_space_group_name_H-M_alt 'P 1'
_space_group_IT_number 1
loop_
_space_group_symop_operation_xyz
'x,y,z'
loop_
_atom_site_label
_atom_site_type_symbol
_atom_site_fract_x
_atom_site_fract_y
_atom_site_fract_z
_atom_site_occupancy
La1 La 0.000 0.000 0.000 1
Nd1 Nd 0.333 0.667 0.664 1
Nd2 Nd 0.667 0.333 0.336 1
Se1 Se 0.000 0.000 0.500 1
Se2 Se 0.333 0.667 0.172 1
Se3 Se 0.667 0.333 0.828 1
# Space group ... P-3m1 (164)
# VASP energy ... -36.3 eV per cell
# Total moment ... 0.02 μB/cell

---

# 2
# LaNdTe4Se2 (PBE, optimized geometry)
data_LaNdTe4Se2
_chemical_formula_sum 'La1 Nd1 Te4 Se2'
_cell_length_a 4.312
_cell_length_b 13.232
_cell_length_c 13.232
_cell_angle_alpha 18.75
_cell_angle_beta 90.00
_cell_angle_gamma 90.00
_space_group_name_H-M_alt 'P 1'
_space_group_IT_number 1
loop_
_space_group_symop_operation_xyz
'x,y,z'
loop_
_atom_site_label
_atom_site_type_symbol
_atom_site_fract_x
_atom_site_fract_y
_atom_site_fract_z
_atom_site_occupancy
La1 La 0.000 0.000 0.000 1
Nd1 Nd 0.500 0.358 0.358 1
Te1 Te 0.000 0.257 0.257 1
Te2 Te 0.000 0.604 0.604 1
Te3 Te 0.500 0.104 0.104 1
Te4 Te 0.500 0.757 0.757 1
Se1 Se 0.000 0.883 0.883 1
Se2 Se 0.500 0.474 0.474 1
# Space group ... Amm2 (38)
# VASP energy ... -38.8 eV per cell
# Total moment ... 0.02 μB/cell

---

# 3
# LaNdSi3 (PBE, optimized geometry)
data_LaNdSi3
_chemical_formula_sum 'La1 Nd1 Si3'
_cell_length_a 7.460
_cell_length_b 7.460
_cell_length_c 7.460
_cell_angle_alpha 147.07
_cell_angle_beta 147.07
_cell_angle_gamma 47.25
_space_group_name_H-M_alt 'P 1'
_space_group_IT_number 1
loop_
_space_group_symop_operation_xyz
'x,y,z'
loop_
_atom_site_label
_atom_site_type_symbol
_atom_site_fract_x
_atom_site_fract_y
_atom_site_fract_z
_atom_site_occupancy
La1 La 0.000 0.000 0.000 1
Nd1 Nd 0.690 0.690 0.000 1
Si1 Si 0.342 0.842 0.500 1
Si2 Si 0.458 0.458 0.000 1
Si3 Si 0.842 0.342 0.500 1
# Space group ... I4mm (107)
# VASP energy ... -27.6 eV per cell
# Total moment ... 0.15 μB/cell

---

Repeat the second record exactly.
# LaNdTe4Se2 (PBE, optimized geometry)
data_LaNdTe4Se2
_chemical_formula_sum 'La1 Nd1 Te4 Se2'
_cell_length_a 4.312
_cell_length_b 13.232
_cell_length_c 13.232
_cell_angle_alpha 18.75
_cell_angle_beta 90.00
_cell_angle_gamma 90.00
_space_group_name_H-M_alt 'P 1'
_space_group_IT_number 1
loop_
_space_group_symop_operation_xyz
'x,y,z'
loop_
_atom_site_label
_atom_site_type_symbol
_atom_site_fract_x
_atom_site_fract_y
_atom_site_fract_z
_atom_site_occupancy
La1 La 0.000 0.000 0.000 1
Nd1 Nd 0.500 0.358 0.358 1
Te1 Te 0.000 0.257 0.257 1
Te2 Te 0.000 0.604 0.604 1
Te3 Te 0.500 0.104 0.104 1
Te4 Te 0.500 0.757 0.757 1
Se1 Se 0.000 0.883 0.883 1
Se2 Se 0.500 0.474 0.474 1
# Space group ... Amm2 (38)
# VASP energy ... -38.8 eV per cell
# Total moment ... 0.02 μB/cell